*w*
Below is a relaxed structure of TmScIr, with properties calculated at the GGA-PBE level.

As for the total magnetic moment: 0.0 μB per formula unit.

The space group is F-43m (No. 216) and the conventional cell measures 6.463, 6.463 and 6.463 Å, with angles of 90.00, 90.00 and 90.00 degrees. The distinct sites, in fractional coordinates, are Tm at (0.000, 0.000, 0.000), Sc at (0.250, 0.250, 0.250) and Ir at (0.250, 0.250, 0.750).

=====

*x*
Below is a relaxed structure of TmScIr, with properties calculated at the GGA-PBE level.

As for the total magnetic moment: 0.0 μB per formula unit.

The space group is Ima2 (No. 46) and the conventional cell measures 8.791, 12.286 and 7.088 Å, with angles of 90.00, 90.00 and 90.00 degrees. The distinct sites, in fractional coordinates, are Tm at (0.250, 0.000, 0.000), Tm at (0.250, 0.206, 0.620), Tm at (0.250, 0.707, 0.119), Sc at (0.000, 0.000, 0.667), Sc at (0.000, 0.127, 0.286), Ir at (0.000, 0.167, 0.913) and Ir at (0.250, 0.000, 0.413).

=====

Stability check: which of them is least stable? *w*.